Entry 1:
A plane-wave DFT calculation with PBE-GGA was carried out for a geometry-optimized MoIr2Se structure.

Volume = 61 Å³ per cell
Uncorrected energy = -31.166 eV per cell
Formation energy from raw total energies = 0.218 eV per atom
D(E_F) = 4.37 states/eV per cell

Lattice parameters (Å, degrees): 2.948 2.948 7.054 90.00 90.00 90.00
Element x y z (fractional)
Mo  0.000  0.000  0.000
Ir  0.000  0.000  0.479
Ir  0.500  0.500  0.763
Se  0.500  0.500  0.246

---

Entry 2:
A plane-wave DFT calculation with PBE-GGA was carried out for a geometry-optimized Li2SiAg structure.

Volume = 60 Å³ per cell
Uncorrected energy = -12.808 eV per cell
Formation energy from raw total energies = -0.177 eV per atom
D(E_F) = 0.93 states/eV per cell

Lattice parameters (Å, degrees): 2.732 2.732 8.095 90.00 90.00 90.00
Element x y z (fractional)
Li  0.000  0.000  0.238
Li  0.000  0.000  0.762
Si  0.500  0.500  0.000
Ag  0.500  0.500  0.500

---

Question: Which formula does entry 2 have?
Answer: Li2SiAg